[1]
First-principles (PBE) data for HfTeO after structural relaxation, as listed in Alexandria via LeMat-Bulk.

abc: 3.557 3.557 5.988
angles: 90.00 90.00 120.00
Fractional positions:
Te (0.000, 0.000, 0.073)
Hf (0.667, 0.333, 0.409)
O (0.333, 0.667, 0.518)

## Properties
uncorrected formation energy	-5.6	eV/f.u.
ρ	8.15	g/cm3


[2]
First-principles (PBE) data for Na3Nd3UO8 after structural relaxation, as listed in Alexandria via LeMat-Bulk.

abc: 7.155 7.155 7.011
angles: 120.69 90.00 120.00
Each line ends with the local moment (μB).
Fractional positions:
Na (0.000, 0.000, 0.000)  0.00
Na (0.000, 0.500, 0.000)  0.00
Na (0.500, 0.500, 0.000)  0.00
Nd (0.500, 0.000, 0.500)  0.06
Nd (0.500, 0.500, 0.500)  0.06
Nd (0.000, 0.500, 0.500)  0.06
U (0.000, 0.000, 0.500)  1.67
O (0.260, 0.521, 0.281)  0.01
O (0.740, 0.479, 0.719)  0.01
O (0.779, 0.558, 0.298)  -0.02
O (0.221, 0.442, 0.702)  -0.02
O (0.779, 0.019, 0.298)  -0.02
O (0.221, 0.981, 0.702)  -0.02
O (0.240, 0.019, 0.298)  -0.02
O (0.760, 0.981, 0.702)  -0.02

## Properties
uncorrected formation energy	-40.5	eV/f.u.
ρ	5.74	g/cm3


[3]
First-principles (PBE) data for SmTm2Zn after structural relaxation, as listed in Alexandria via LeMat-Bulk.

abc: 3.534 3.534 8.648
angles: 90.00 90.00 90.00
Fractional positions:
Zn (0.500, 0.500, 0.000)
Tm (0.000, 0.000, 0.798)
Tm (0.000, 0.000, 0.202)
Sm (0.500, 0.500, 0.500)

## Properties
formation energy from the elements	-168	meV per atom
ρ	8.51	g/cm3


[4]
First-principles (PBE) data for USiSe after structural relaxation, as listed in Alexandria via LeMat-Bulk.

abc: 3.796 3.796 5.142
angles: 111.63 111.66 90.00
Each line ends with the local moment (μB).
Fractional positions:
U (0.009, 0.009, 0.017)  1.84
Se (0.355, 0.355, 0.710)  -0.03
Si (0.637, 0.636, 0.273)  0.00

## Properties
uncorrected formation energy	-0.8	eV/f.u.
ρ	9.06	g/cm3


[5]
First-principles (PBE) data for Cs2RbFeI6 after structural relaxation, as listed in Alexandria via LeMat-Bulk.

abc: 8.699 8.699 8.699
angles: 60.00 60.00 90.00
Each line ends with the local moment (μB).
Fractional positions:
Cs (0.750, 0.250, 0.500)  0.00
Cs (0.250, 0.750, 0.500)  0.00
I (0.284, 0.284, 0.433)  -0.02
I (0.716, 0.716, 0.567)  -0.02
I (0.284, 0.284, 0.000)  -0.02
I (0.716, 0.716, 0.000)  -0.02
I (0.716, 0.284, 0.000)  -0.01
I (0.284, 0.716, 0.000)  -0.01
Fe (0.500, 0.500, 0.000)  1.10
Rb (0.000, 0.000, 0.000)  0.00

## Properties
uncorrected formation energy	-8.5	eV/f.u.
ρ	4.17	g/cm3


[6]
First-principles (PBE) data for VNi2HPd after structural relaxation, as listed in Alexandria via LeMat-Bulk.

abc: 3.737 3.737 3.830
angles: 90.00 90.00 90.00
Each line ends with the local moment (μB).
Fractional positions:
Ni (0.000, 0.500, 0.000)  0.03
Ni (0.500, 0.000, 0.000)  0.03
H (0.000, 0.000, 0.000)  0.00
Pd (0.000, 0.000, 0.500)  0.04
V (0.500, 0.500, 0.500)  1.74

## Properties
total energy	-5.88	eV per atom
ρ	8.56	g/cm3


ρ of number 4 (USiSe)?
9.06 g/cm3


Please write out number 2 again, unchanged.
First-principles (PBE) data for Na3Nd3UO8 after structural relaxation, as listed in Alexandria via LeMat-Bulk.

abc: 7.155 7.155 7.011
angles: 120.69 90.00 120.00
Each line ends with the local moment (μB).
Fractional positions:
Na (0.000, 0.000, 0.000)  0.00
Na (0.000, 0.500, 0.000)  0.00
Na (0.500, 0.500, 0.000)  0.00
Nd (0.500, 0.000, 0.500)  0.06
Nd (0.500, 0.500, 0.500)  0.06
Nd (0.000, 0.500, 0.500)  0.06
U (0.000, 0.000, 0.500)  1.67
O (0.260, 0.521, 0.281)  0.01
O (0.740, 0.479, 0.719)  0.01
O (0.779, 0.558, 0.298)  -0.02
O (0.221, 0.442, 0.702)  -0.02
O (0.779, 0.019, 0.298)  -0.02
O (0.221, 0.981, 0.702)  -0.02
O (0.240, 0.019, 0.298)  -0.02
O (0.760, 0.981, 0.702)  -0.02

## Properties
uncorrected formation energy	-40.5	eV/f.u.
ρ	5.74	g/cm3


ρ of number 6 (VNi2HPd)?
8.56 g/cm3